Here is crystalline HgMoW2 at its relaxed geometry from Alexandria via LeMat-Bulk. Energies are from PBEsol.

Calculated values
space-group type: P4mm (99)
formation energy from the elements: 0.453 eV per atom
crystal system: tetragonal
calculated volume: 66.7 Å³/cell
DOS(E_F): 3.389 states/eV/cell
VASP energy: -9.53 eV/atom

```
HgMoW2
1.0
3.329 0.000 0.000
0.000 3.329 0.000
0.000 0.000 6.016
Hg Mo W
1 1 2
direct
0.000 0.000 0.000
0.500 0.500 0.278
0.000 0.000 0.498
0.500 0.500 0.718
```



Here is crystalline TiGeSe2Br at its relaxed geometry from Alexandria via LeMat-Bulk. Energies are from PBEsol.

Calculated values
space-group type: P4/mmm (123)
crystal system: tetragonal
calculated volume: 121.8 Å³/cell
DOS(E_F): 6.635 states/eV/cell
VASP energy: -4.28 eV/atom

```
TiGeSe2Br
1.0
4.949 0.000 0.000
0.000 4.949 0.000
0.000 0.000 4.971
Ti Ge Se Br
1 1 2 1
direct
0.000 0.000 0.000
0.500 0.500 0.500
0.000 0.500 0.500
0.500 0.000 0.500
0.500 0.500 0.000
```